# GGA-PBE LiScNb2Br, optimized geometry
data_LiScNb2Br
_symmetry_space_group_name_H-M 'P 4/m m m'
_symmetry_Int_Tables_number 123
_symmetry_space_group_name_Hall '-P 4 2'
_cell_length_a 4.821
_cell_length_b 4.821
_cell_length_c 5.447
_cell_angle_alpha 90.00
_cell_angle_beta 90.00
_cell_angle_gamma 90.00
loop_
_atom_site_label
_atom_site_fract_x
_atom_site_fract_y
_atom_site_fract_z
_atom_site_occupancy
Li1 0.000 0.000 0.000 1
Sc1 0.000 0.000 0.500 1
Nb1 0.000 0.500 0.500 1
Br1 0.500 0.500 0.000 1
# Uncorrected formation energy (eV/atom): 1.410
# Crystal system: tetragonal
# Calculated density (g/cm³): 4.166